{
  "formula": "Sm6Ge2PtS3",
  "functional": "PBE",
  "state": "relaxed",
  "magmom_total_mub_per_atom": 0.00,
  "dos_ef_per_ev_atom": 0.439,
  "density_g_cm3": 7.41,
  "total_energy_ev_per_atom": -6.129,
  "cell": [[4.111, 0.000, 0.000], [0.000, 8.310, 0.214], [-2.055, -2.485, 8.713]],
  "species": ["Sm", "Ge", "Pt", "S", "Sm", "S", "Sm", "Sm", "Ge", "Sm", "S", "Sm"],
  "fractional_positions": [[0.333, 0.416, 0.667], [0.835, 0.669, 0.670], [0.500, 0.000, 0.000], [0.832, 0.167, 0.664], [0.668, 0.083, 0.336], [0.168, 0.833, 0.336], [0.332, 0.917, 0.664], [0.001, 0.749, 0.002], [0.165, 0.331, 0.330], [0.667, 0.584, 0.333], [0.500, 0.500, 0.000], [0.999, 0.251, 0.998]]
}